Here is an optimized crystal structure of WCl2 from Alexandria. Energies are from PBE.

Spin magnetization ... 0.0 μB per cell
V ... 1035 Å³ per cell
Formation energy without anion corrections ... -0.73 eV/atom
Mass density ... 4903 kg/m³
E above lowest polymorph ... 0.0 meV/atom
Crystal system ... orthorhombic

abc: 9.642 9.642 11.592
angles: 90.00 90.00 73.88
Fractional positions:
W 0.070 0.930 0.856
W 0.121 0.121 0.000
W 0.144 0.856 0.070
W 0.356 0.644 0.570
W 0.379 0.379 0.500
W 0.430 0.570 0.356
W 0.570 0.430 0.644
W 0.621 0.621 0.500
W 0.644 0.356 0.430
W 0.856 0.144 0.930
W 0.879 0.879 0.000
W 0.930 0.070 0.144
Cl 0.043 0.185 0.794
Cl 0.092 0.680 0.929
Cl 0.154 0.846 0.654
Cl 0.180 0.592 0.429
Cl 0.185 0.043 0.206
Cl 0.224 0.224 0.500
Cl 0.276 0.276 0.000
Cl 0.315 0.457 0.706
Cl 0.320 0.908 0.929
Cl 0.346 0.654 0.154
Cl 0.408 0.820 0.429
Cl 0.457 0.315 0.294
Cl 0.543 0.685 0.706
Cl 0.592 0.180 0.571
Cl 0.654 0.346 0.846
Cl 0.680 0.092 0.071
Cl 0.685 0.543 0.294
Cl 0.724 0.724 0.000
Cl 0.776 0.776 0.500
Cl 0.815 0.957 0.794
Cl 0.820 0.408 0.571
Cl 0.846 0.154 0.346
Cl 0.908 0.320 0.071
Cl 0.957 0.815 0.206

---

Here is an optimized crystal structure of Sb2TeWI from Alexandria. Energies are from PBE.

Spin magnetization ... 0.0 μB per cell
V ... 150 Å³ per cell
Formation energy without anion corrections ... 0.42 eV/atom
Mass density ... 7547 kg/m³
E above lowest polymorph ... 0.0 meV/atom
Crystal system ... tetragonal

abc: 5.368 5.368 5.207
angles: 90.00 90.00 90.00
Fractional positions:
Sb 0.000 0.500 0.000
Sb 0.500 0.000 0.000
Te 0.000 0.000 0.500
W 0.000 0.000 0.000
I 0.500 0.500 0.500

---

Here is an optimized crystal structure of HgTe2Au from Alexandria. Energies are from PBE.

Spin magnetization ... 0.0 μB per cell
V ... 101 Å³ per cell
Formation energy without anion corrections ... 0.28 eV/atom
Mass density ... 10740 kg/m³
Crystal system ... tetragonal

abc: 3.659 3.659 7.538
angles: 90.00 90.00 90.00
Fractional positions:
Hg 0.000 0.000 0.000
Te 0.000 0.000 0.546
Te 0.500 0.500 0.287
Au 0.500 0.500 0.770

---

Here is an optimized crystal structure of SrVRe3 from Alexandria. Energies are from PBE.

Spin magnetization ... 0.5 μB per cell
Calculated formation energy ... 356.5 kJ per mole of atoms
V ... 105 Å³ per cell
Mass density ... 11070 kg/m³
E above lowest polymorph ... 2335.3 meV/atom
Crystal system ... cubic

abc: 4.711 4.711 4.711
angles: 90.00 90.00 90.00
Fractional positions:
Sr 0.000 0.000 0.000
V 0.500 0.500 0.500
Re 0.000 0.000 0.500
Re 0.000 0.500 0.000
Re 0.500 0.000 0.000

---

Here is an optimized crystal structure of Pm5Co2Se2 from Alexandria. Energies are from PBE.

Spin magnetization ... 0.0 μB per cell
V ... 446 Å³ per cell
Formation energy without anion corrections ... -0.78 eV/atom
Mass density ... 7449 kg/m³
Crystal system ... orthorhombic

abc: 8.520 8.520 7.633
angles: 90.00 90.00 53.64
Fractional positions:
Pm 0.000 0.000 0.000
Pm 0.039 0.712 0.659
Pm 0.212 0.539 0.159
Pm 0.288 0.961 0.659
Pm 0.461 0.788 0.159
Pm 0.500 0.500 0.500
Pm 0.539 0.212 0.841
Pm 0.712 0.039 0.341
Pm 0.788 0.461 0.841
Pm 0.961 0.288 0.341
Co 0.134 0.866 0.369
Co 0.366 0.634 0.869
Co 0.634 0.366 0.131
Co 0.866 0.134 0.631
Se 0.204 0.204 0.000
Se 0.296 0.296 0.500
Se 0.704 0.704 0.500
Se 0.796 0.796 0.000

---

Here is an optimized crystal structure of Er5Tl2Rh from Alexandria. Energies are from PBE.

Spin magnetization ... 0.0 μB per cell
Calculated formation energy ... -43.3 kJ per mole of atoms
V ... 424 Å³ per cell
Mass density ... 10558 kg/m³
E above lowest polymorph ... 0.0 meV/atom
Crystal system ... orthorhombic

abc: 7.313 12.263 4.728
angles: 90.00 90.00 90.00
Fractional positions:
Er 0.000 0.000 0.000
Er 0.133 0.292 0.000
Er 0.179 0.579 0.500
Er 0.321 0.079 0.500
Er 0.367 0.792 0.000
Er 0.500 0.500 0.000
Er 0.633 0.208 0.000
Er 0.679 0.921 0.500
Er 0.821 0.421 0.500
Er 0.867 0.708 0.000
Tl 0.087 0.835 0.500
Tl 0.413 0.335 0.500
Tl 0.587 0.665 0.500
Tl 0.913 0.165 0.500
Rh 0.000 0.500 0.000
Rh 0.500 0.000 0.000

---

Here is an optimized crystal structure of YAgAs2 from Alexandria. Energies are from PBE.

Spin magnetization ... 0.0 μB per cell
Calculated formation energy ... -50.5 kJ per mole of atoms
V ... 93 Å³ per cell
Mass density ... 6194 kg/m³
Crystal system ... monoclinic

abc: 3.894 4.030 5.936
angles: 90.00 93.97 90.00
Fractional positions:
Y 0.000 0.000 0.000
Ag 0.500 0.000 0.500
As 0.440 0.500 0.788
As 0.560 0.500 0.212

---

Here is an optimized crystal structure of Ce6Te3AsSe2 from Alexandria. Energies are from PBE.

Spin magnetization ... 6.0 μB per cell
V ... 349 Å³ per cell
Formation energy without anion corrections ... -1.53 eV/atom
Mass density ... 6927 kg/m³
Crystal system ... monoclinic

abc: 7.470 7.470 7.642
angles: 99.38 99.38 120.01
Fractional positions:
Ce 0.075 0.406 0.225
Ce 0.256 0.256 0.775
Ce 0.406 0.075 0.225
Ce 0.594 0.925 0.775
Ce 0.744 0.744 0.225
Ce 0.925 0.594 0.775
Te 0.167 0.833 0.500
Te 0.500 0.500 0.500
Te 0.833 0.167 0.500
As 0.000 0.000 0.000
Se 0.333 0.667 0.000
Se 0.667 0.333 0.000